(i)
First-principles (PBE) data for an optimized crystal structure of Ac6La2Dy, as listed in the Alexandria database.

**Space-group type**: No. 187

a = 3.899 Å, b = 3.899 Å, c = 28.973 Å
α = 90.00°, β = 90.00°, γ = 120.00°
Positions (direct):
1 Ac 0.000 0.000 0.065
2 Ac 0.000 0.000 0.282
3 Ac 0.000 0.000 0.718
4 Ac 0.000 0.000 0.935
5 Ac 0.333 0.667 0.397
6 Ac 0.333 0.667 0.603
7 La 0.333 0.667 0.172
8 La 0.333 0.667 0.828
9 Dy 0.000 0.000 0.500

(ii)
First-principles (PBE) data for an optimized crystal structure of Ac6La2Dy, as listed in the Alexandria database.

**Space-group type**: No. 12

a = 7.420 Å, b = 7.420 Å, c = 8.022 Å
α = 98.52°, β = 98.52°, γ = 62.47°
Positions (direct):
1 Ac 0.131 0.646 0.653
2 Ac 0.156 0.156 0.862
3 Ac 0.354 0.869 0.347
4 Ac 0.646 0.131 0.653
5 Ac 0.844 0.844 0.138
6 Ac 0.869 0.354 0.347
7 La 0.349 0.349 0.266
8 La 0.651 0.651 0.734
9 Dy 0.500 0.500 0.000

Best to worst by energy: (i), (ii).

(i)
First-principles (PBE) data for an optimized crystal structure of AcLaDy2, as listed in the Alexandria database.

**Space-group type**: No. 123

a = 3.801 Å, b = 3.801 Å, c = 9.962 Å
α = 90.00°, β = 90.00°, γ = 90.00°
Positions (direct):
1 Ac 0.000 0.000 0.000
2 La 0.000 0.000 0.500
3 Dy 0.500 0.500 0.258
4 Dy 0.500 0.500 0.742

(ii)
First-principles (PBE) data for an optimized crystal structure of AcLaDy2, as listed in the Alexandria database.

**Space-group type**: No. 225

a = 5.900 Å, b = 5.900 Å, c = 5.900 Å
α = 60.00°, β = 60.00°, γ = 60.00°
Positions (direct):
1 Ac 0.000 0.000 0.000
2 La 0.500 0.500 0.500
3 Dy 0.250 0.250 0.250
4 Dy 0.750 0.750 0.750

Best to worst by energy: (i), (ii).

(i)
First-principles (PBE) data for an optimized crystal structure of AcLaDy2, as listed in the Alexandria database.

**Space-group type**: No. 123

a = 5.327 Å, b = 5.327 Å, c = 5.058 Å
α = 90.00°, β = 90.00°, γ = 90.00°
Positions (direct):
1 Ac 0.000 0.000 0.000
2 La 0.500 0.500 0.000
3 Dy 0.000 0.500 0.500
4 Dy 0.500 0.000 0.500

(ii)
First-principles (PBE) data for an optimized crystal structure of AcLaDy2, as listed in the Alexandria database.

**Space-group type**: No. 10

a = 8.826 Å, b = 3.621 Å, c = 9.268 Å
α = 90.00°, β = 98.10°, γ = 90.00°
Positions (direct):
1 Ac 0.225 0.000 0.245
2 Ac 0.775 0.000 0.755
3 La 0.000 0.500 0.500
4 La 0.500 0.000 0.000
5 Dy 0.146 0.500 0.879
6 Dy 0.348 0.000 0.631
7 Dy 0.652 0.000 0.369
8 Dy 0.854 0.500 0.121

(iii)
First-principles (PBE) data for an optimized crystal structure of AcLaDy2, as listed in the Alexandria database.

**Space-group type**: No. 160

a = 12.142 Å, b = 12.142 Å, c = 12.142 Å
α = 17.67°, β = 17.67°, γ = 17.67°
Positions (direct):
1 Ac 0.000 0.000 0.000
2 La 0.834 0.834 0.834
3 Dy 0.248 0.248 0.248
4 Dy 0.420 0.420 0.420

Best to worst by energy: (i), (iii), (ii).

(i)
First-principles (PBE) data for an optimized crystal structure of AcLaDy, as listed in the Alexandria database.

**Space-group type**: No. 187

a = 5.903 Å, b = 5.903 Å, c = 3.712 Å
α = 90.00°, β = 90.00°, γ = 120.00°
Positions (direct):
1 Ac 0.000 0.000 0.000
2 La 0.333 0.667 0.500
3 Dy 0.667 0.333 0.500

(ii)
First-principles (PBE) data for an optimized crystal structure of AcLaDy, as listed in the Alexandria database.

**Space-group type**: No. 129

a = 6.209 Å, b = 6.209 Å, c = 6.629 Å
α = 90.00°, β = 90.00°, γ = 90.00°
Positions (direct):
1 Ac 0.250 0.750 0.000
2 Ac 0.750 0.250 0.000
3 La 0.250 0.250 0.371
4 La 0.750 0.750 0.629
5 Dy 0.250 0.250 0.838
6 Dy 0.750 0.750 0.162

(iii)
First-principles (PBE) data for an optimized crystal structure of AcLaDy, as listed in the Alexandria database.

**Space-group type**: No. 156

a = 3.780 Å, b = 3.780 Å, c = 9.169 Å
α = 90.00°, β = 90.00°, γ = 120.00°
Positions (direct):
1 Ac 0.000 0.000 0.000
2 La 0.333 0.667 0.648
3 Dy 0.667 0.333 0.330

(iv)
First-principles (PBE) data for an optimized crystal structure of AcLaDy, as listed in the Alexandria database.

**Space-group type**: No. 129

a = 3.780 Å, b = 3.780 Å, c = 15.794 Å
α = 90.00°, β = 90.00°, γ = 90.00°
Positions (direct):
1 Ac 0.250 0.250 0.242
2 Ac 0.750 0.750 0.758
3 La 0.250 0.250 0.582
4 La 0.750 0.750 0.418
5 Dy 0.250 0.250 0.927
6 Dy 0.750 0.750 0.073

Best to worst by energy: (iv), (iii), (i), (ii).

(i)
First-principles (PBE) data for an optimized crystal structure of Ac2La2Dy, as listed in the Alexandria database.

**Space-group type**: No. 139

a = 9.102 Å, b = 9.102 Å, c = 9.102 Å
α = 148.23°, β = 148.23°, γ = 45.54°
Positions (direct):
1 Ac 0.250 0.750 0.500
2 Ac 0.750 0.250 0.500
3 La 0.090 0.090 0.000
4 La 0.910 0.910 0.000
5 Dy 0.500 0.500 0.000

(ii)
First-principles (PBE) data for an optimized crystal structure of Ac2La2Dy, as listed in the Alexandria database.

**Space-group type**: No. 139

a = 9.867 Å, b = 9.867 Å, c = 9.867 Å
α = 152.39°, β = 152.39°, γ = 39.44°
Positions (direct):
1 Ac 0.095 0.095 0.000
2 Ac 0.905 0.905 0.000
3 La 0.250 0.750 0.500
4 La 0.750 0.250 0.500
5 Dy 0.500 0.500 0.000

Best to worst by energy: (ii), (i).

(i)
First-principles (PBE) data for an optimized crystal structure of AcLa3Dy2, as listed in the Alexandria database.

**Space-group type**: No. 70

a = 12.320 Å, b = 11.743 Å, c = 6.447 Å
α = 79.47°, β = 69.57°, γ = 30.96°
Positions (direct):
1 Ac 0.125 0.125 0.125
2 Ac 0.875 0.875 0.875
3 La 0.209 0.209 0.541
4 La 0.375 0.375 0.375
5 La 0.459 0.459 0.791
6 La 0.541 0.541 0.209
7 La 0.625 0.625 0.625
8 La 0.791 0.791 0.459
9 Dy 0.041 0.041 0.709
10 Dy 0.291 0.291 0.959
11 Dy 0.709 0.709 0.041
12 Dy 0.959 0.959 0.291

(ii)
First-principles (PBE) data for an optimized crystal structure of AcLa3Dy2, as listed in the Alexandria database.

**Space-group type**: No. 71

a = 10.625 Å, b = 10.625 Å, c = 10.625 Å
α = 160.72°, β = 145.90°, γ = 39.47°
Positions (direct):
1 Ac 0.000 0.000 0.000
2 La 0.191 0.191 0.000
3 La 0.500 0.000 0.500
4 La 0.809 0.809 0.000
5 Dy 0.363 0.363 0.000
6 Dy 0.637 0.637 0.000

Best to worst by energy: (i), (ii).

(i)
First-principles (PBE) data for an optimized crystal structure of AcLa3Dy3, as listed in the Alexandria database.

**Space-group type**: No. 1

a = 9.524 Å, b = 10.315 Å, c = 10.350 Å
α = 83.61°, β = 85.82°, γ = 88.28°
Positions (direct):
1 Ac 0.000 0.000 0.000
2 Ac 0.008 0.855 0.642
3 Ac 0.027 0.641 0.966
4 Ac 0.670 0.825 0.868
5 La 0.013 0.748 0.307
6 La 0.155 0.403 0.220
7 La 0.171 0.326 0.891
8 La 0.335 0.029 0.775
9 La 0.340 0.914 0.420
10 La 0.349 0.799 0.091
11 La 0.487 0.471 0.984
12 La 0.499 0.394 0.646
13 La 0.657 0.077 0.548
14 La 0.671 0.718 0.513
15 La 0.836 0.324 0.095
16 La 0.839 0.413 0.432
17 Dy 0.113 0.503 0.596
18 Dy 0.280 0.226 0.482
19 Dy 0.340 0.132 0.132
20 Dy 0.348 0.691 0.727
21 Dy 0.367 0.592 0.384
22 Dy 0.546 0.320 0.293
23 Dy 0.647 0.172 0.890
24 Dy 0.666 0.978 0.210
25 Dy 0.689 0.630 0.189
26 Dy 0.802 0.479 0.770
27 Dy 0.969 0.195 0.675
28 Dy 0.995 0.097 0.343

(ii)
First-principles (PBE) data for an optimized crystal structure of AcLa3Dy3, as listed in the Alexandria database.

**Space-group type**: No. 176

a = 9.911 Å, b = 9.911 Å, c = 5.942 Å
α = 90.00°, β = 90.00°, γ = 120.00°
Positions (direct):
1 Ac 0.333 0.667 0.250
2 Ac 0.667 0.333 0.750
3 La 0.093 0.465 0.750
4 La 0.372 0.907 0.750
5 La 0.465 0.372 0.250
6 La 0.535 0.628 0.750
7 La 0.628 0.093 0.250
8 La 0.907 0.535 0.250
9 Dy 0.043 0.227 0.250
10 Dy 0.184 0.957 0.250
11 Dy 0.227 0.184 0.750
12 Dy 0.773 0.816 0.250
13 Dy 0.816 0.043 0.750
14 Dy 0.957 0.773 0.750

Best to worst by energy: (ii), (i).

(i)
First-principles (PBE) data for an optimized crystal structure of Ac2LaDy, as listed in the Alexandria database.

**Space-group type**: No. 123

a = 3.859 Å, b = 3.859 Å, c = 10.558 Å
α = 90.00°, β = 90.00°, γ = 90.00°
Positions (direct):
1 Ac 0.000 0.000 0.242
2 Ac 0.000 0.000 0.758
3 La 0.500 0.500 0.500
4 Dy 0.500 0.500 0.000

(ii)
First-principles (PBE) data for an optimized crystal structure of Ac2LaDy, as listed in the Alexandria database.

**Space-group type**: No. 166

a = 13.398 Å, b = 13.398 Å, c = 13.398 Å
α = 16.08°, β = 16.08°, γ = 16.08°
Positions (direct):
1 Ac 0.087 0.087 0.087
2 Ac 0.913 0.913 0.913
3 La 0.500 0.500 0.500
4 Dy 0.000 0.000 0.000

Best to worst by energy: (i), (ii).

(i)
First-principles (PBE) data for an optimized crystal structure of AcLa7Dy3, as listed in the Alexandria database.

**Space-group type**: No. 12

a = 7.867 Å, b = 7.867 Å, c = 6.686 Å
α = 94.01°, β = 94.01°, γ = 81.66°
Positions (direct):
1 Ac 0.000 0.000 0.000
2 La 0.000 0.000 0.500
3 La 0.074 0.436 0.762
4 La 0.268 0.268 0.297
5 La 0.436 0.074 0.762
6 La 0.564 0.926 0.238
7 La 0.732 0.732 0.703
8 La 0.926 0.564 0.238
9 Dy 0.332 0.668 0.500
10 Dy 0.500 0.500 0.000
11 Dy 0.668 0.332 0.500

(ii)
First-principles (PBE) data for an optimized crystal structure of AcLa7Dy3, as listed in the Alexandria database.

**Space-group type**: No. 156

a = 7.398 Å, b = 7.398 Å, c = 8.666 Å
α = 90.00°, β = 90.00°, γ = 120.00°
Positions (direct):
1 Ac 0.000 0.000 0.000
2 La 0.333 0.667 0.301
3 La 0.341 0.171 0.337
4 La 0.502 0.005 0.966
5 La 0.502 0.498 0.966
6 La 0.829 0.171 0.337
7 La 0.829 0.659 0.337
8 La 0.995 0.498 0.966
9 Dy 0.168 0.336 0.649
10 Dy 0.168 0.832 0.649
11 Dy 0.664 0.832 0.649

Best to worst by energy: (ii), (i).

(i)
First-principles (PBE) data for an optimized crystal structure of AcLa3Dy, as listed in the Alexandria database.

**Space-group type**: No. 63

a = 5.634 Å, b = 5.634 Å, c = 13.417 Å
α = 90.00°, β = 90.00°, γ = 113.53°
Positions (direct):
1 Ac 0.000 0.000 0.000
2 Ac 0.000 0.000 0.500
3 La 0.061 0.939 0.750
4 La 0.376 0.624 0.619
5 La 0.376 0.624 0.881
6 La 0.624 0.376 0.119
7 La 0.624 0.376 0.381
8 La 0.939 0.061 0.250
9 Dy 0.282 0.718 0.250
10 Dy 0.718 0.282 0.750

(ii)
First-principles (PBE) data for an optimized crystal structure of AcLa3Dy, as listed in the Alexandria database.

**Space-group type**: No. 2

a = 3.781 Å, b = 9.609 Å, c = 11.627 Å
α = 65.77°, β = 89.97°, γ = 89.93°
Positions (direct):
1 Ac 0.001 0.197 0.499
2 Ac 0.999 0.803 0.501
3 La 0.499 0.976 0.176
4 La 0.500 0.349 0.175
5 La 0.500 0.420 0.659
6 La 0.500 0.580 0.341
7 La 0.500 0.651 0.825
8 La 0.501 0.024 0.824
9 Dy 0.000 0.279 0.940
10 Dy 0.000 0.721 0.060

Best to worst by energy: (ii), (i).